(1)
First-principles (GGA-PBE) data for Pa3Al7Au2 after structural relaxation, as listed in Alexandria via LeMat-Bulk.

As for the formation energy: -4.53 eV/f.u.

abc: 5.5448 5.5448 26.0636
angles: 90.00 90.00 120.00
Space group R-3m (No. 166, hexagonal axes)
Symmetry-distinct sites (fractional):
Pa 0.0000 0.0000 0.0000 x3
Pa 0.0000 0.0000 0.1432 x6
Al 0.0000 0.0000 0.5000 x3
Al 0.0080 0.5040 0.9166 x18
Au 0.0000 0.0000 0.3356 x6


(2)
First-principles (GGA-PBE) data for AcPm6Y2 after structural relaxation, as listed in Alexandria via LeMat-Bulk.

As for the formation energy: 1.48 eV/f.u. The energy above the most stable polymorph in this dataset comes out at 108 meV/atom.

abc: 3.6834 3.6834 32.5394
angles: 90.00 90.00 120.00
Space group P-6m2 (No. 187)
Symmetry-distinct sites (fractional):
Ac 0.0000 0.0000 0.0000 x1
Pm 0.0000 0.0000 0.1873 x2
Pm 0.0000 0.0000 0.3634 x2
Pm 0.3333 0.6667 0.0972 x2
Y 0.3333 0.6667 0.2778 x2


(3)
First-principles (GGA-PBE) data for InAgPCl2 after structural relaxation, as listed in Alexandria via LeMat-Bulk.

The energy above the most stable polymorph in this dataset comes out at 69 meV/atom. The raw formation energy is 0.74 eV per formula unit.

abc: 5.181 5.181 5.233
angles: 90.00 90.00 90.00
Space group P4/mmm (No. 123)
Symmetry-distinct sites (fractional):
In 0.000 0.000 0.000 x1
Ag 0.500 0.500 0.500 x1
P 0.000 0.000 0.500 x1
Cl 0.000 0.500 0.000 x2


(4)
First-principles (GGA-PBE) data for ScFe2AgPt after structural relaxation, as listed in Alexandria via LeMat-Bulk.

As for the formation energy: 4.88 eV/f.u.

abc: 4.564 4.564 4.917
angles: 90.00 90.00 90.00
Space group P4/mmm (No. 123)
Symmetry-distinct sites (fractional):
Sc 0.000 0.000 0.000 x1
Fe 0.000 0.500 0.500 x2
Ag 0.500 0.500 0.000 x1
Pt 0.000 0.000 0.500 x1


no.,E (eV per atom)
1,-5.48
2,-4.90
3,-2.79
4,-5.45